{
  "formula": "V5ZnO7",
  "functional": "GGA+U",
  "state": "optimized geometry",
  "lattice_angstrom": [[1.4792, -5.1167, 0.0000], [1.4792, 5.1167, 0.0000], [0.0000, 0.0000, 18.4848]],
  "species": ["V", "V", "V", "V", "V", "V", "V", "V", "V", "V", "Zn", "Zn", "O", "O", "O", "O", "O", "O", "O", "O", "O", "O", "O", "O", "O", "O"],
  "frac_coords": [[0.0000, 0.0000, 0.0000], [0.0000, 0.0000, 0.5000], [0.2683, 0.7317, 0.5778], [0.2683, 0.7317, 0.9222], [0.4721, 0.5279, 0.1565], [0.4721, 0.5279, 0.3435], [0.5279, 0.4721, 0.6565], [0.5279, 0.4721, 0.8435], [0.7317, 0.2683, 0.0778], [0.7317, 0.2683, 0.4222], [0.2211, 0.7789, 0.2500], [0.7789, 0.2211, 0.7500], [0.0894, 0.9106, 0.1043], [0.0894, 0.9106, 0.3957], [0.1646, 0.8354, 0.6748], [0.1646, 0.8354, 0.8252], [0.3630, 0.6370, 0.0342], [0.3630, 0.6370, 0.4658], [0.4176, 0.5824, 0.7500], [0.5824, 0.4176, 0.2500], [0.6370, 0.3630, 0.5342], [0.6370, 0.3630, 0.9658], [0.8354, 0.1646, 0.1748], [0.8354, 0.1646, 0.3252], [0.9106, 0.0894, 0.6043], [0.9106, 0.0894, 0.8957]],
  "vol_a3_per_atom": 10.76,
  "crystal_system": "orthorhombic",
  "e_tot_ev_per_atom": -7.310
}